(1)
RbMgGe2 | GGA-PBE | optimized geometry

Cell: 10.0063 10.0063 10.0063 Å, 148.66 148.66 44.91°
Fractional positions:
Rb (0.3750, 0.6250, 0.7500)
Rb (0.6250, 0.3750, 0.2500)
Mg (0.1250, 0.8750, 0.2500)
Mg (0.8750, 0.1250, 0.7500)
Ge (0.0000, 0.0000, 0.0000)
Ge (0.0000, 0.0000, 0.5000)
Ge (0.0000, 0.5000, 0.0000)
Ge (0.5000, 0.0000, 0.5000)

=====

(2)
RbMgReGe2 | GGA-PBE | optimized geometry

Cell: 4.8811 4.8811 5.2974 Å, 90.00 90.00 90.00°
Fractional positions:
Rb (0.0000, 0.0000, 0.0000)
Mg (0.5000, 0.5000, 0.0000)
Re (0.5000, 0.5000, 0.5000)
Ge (0.0000, 0.5000, 0.5000)
Ge (0.5000, 0.0000, 0.5000)

=====

(3)
RbMg2GeRu | GGA-PBE | optimized geometry

Cell: 5.1868 5.1868 4.7966 Å, 90.00 90.00 90.00°
Fractional positions:
Rb (0.0000, 0.0000, 0.0000)
Mg (0.0000, 0.5000, 0.5000)
Mg (0.5000, 0.0000, 0.5000)
Ge (0.5000, 0.5000, 0.0000)
Ru (0.5000, 0.5000, 0.5000)

=====

no.,DOS(E_F) (states/eV per atom),calculated total energy (eV/atom),formation energy from the elements (meV per atom)
1,0.522,-2.840,110
2,0.232,-4.797,52
3,0.353,-3.673,-63